# NaNd3Cd4 | Alexandria via LeMat-Bulk | PBE | optimized geometry
data_NaNd3Cd4
_space_group_name_H-M_alt 'R -3 m'
_space_group_IT_number 166
_space_group_name_Hall '-R 3 2"'
_cell_length_a 5.4054
_cell_length_b 5.4054
_cell_length_c 26.5287
_cell_angle_alpha 90.00
_cell_angle_beta 90.00
_cell_angle_gamma 120.00
loop_
_atom_site_label
_atom_site_fract_x
_atom_site_fract_y
_atom_site_fract_z
Na1 0.0000 0.0000 0.0000
Nd1 0.0000 0.0000 0.2521
Nd2 0.0000 0.0000 0.5000
Cd1 0.0000 0.0000 0.1242
Cd2 0.0000 0.0000 0.3751
# - ΔH_f (0 K) (eV per formula unit) = -2.01
# - final energy (eV for the cell shown) = -63.867